Cu2SbW | PBE-GGA | optimized geometry

Summary:
Uncorrected energy ... -5.832 eV/atom
ρ ... 11.3 g/cm³

Cell lengths 4.9226, 4.9226, 2.8631 Å; angles 89.97, 89.97, 113.31 degrees
Atoms (fractional coordinates):
Cu1 0.5000 0.5000 0.0000
Cu2 0.0000 0.0000 0.0000
W1 0.0000 0.5000 0.5000
Sb1 0.5000 0.0000 0.5000